First-principles (PBE) data for crystalline HgC5 at its relaxed geometry, as listed in the Alexandria database.

Computed properties:
Space-group type = No. 8

Lattice parameters (Å, degrees): 4.101 4.101 7.638 83.18 83.18 35.54
Sites, in units of the cell vectors:
Hg 0.113 0.113 0.866
C 0.975 0.975 0.137
C 0.448 0.448 0.224
C 0.352 0.352 0.672
C 0.400 0.400 0.414
C 0.879 0.879 0.520


First-principles (PBE) data for crystalline Ho4Er5Tl2 at its relaxed geometry, as listed in the Alexandria database.

Computed properties:
Space-group type = No. 12

Lattice parameters (Å, degrees): 3.537 9.161 12.448 118.85 98.17 90.00
Sites, in units of the cell vectors:
Ho 0.603 0.589 0.206
Ho 0.017 0.716 0.034
Ho 0.397 0.411 0.794
Ho 0.983 0.284 0.966
Er 0.178 0.973 0.355
Er 0.822 0.027 0.645
Er 0.127 0.299 0.255
Er 0.500 0.000 0.000
Er 0.873 0.701 0.745
Tl 0.736 0.645 0.471
Tl 0.264 0.355 0.529


First-principles (PBE) data for crystalline PrDy2Re at its relaxed geometry, as listed in the Alexandria database.

Computed properties:
Space-group type = No. 166

Lattice parameters (Å, degrees): 3.267 3.267 11.626 81.92 81.92 60.00
Sites, in units of the cell vectors:
Pr 0.500 0.500 0.500
Re 0.000 0.000 0.000
Dy 0.077 0.077 0.768
Dy 0.923 0.923 0.232


What are the calculated volume values for these records? In order: 74.1 348.7 106.0 Å³/cell.
What are the formation enthalpy at 0 K values for these records? In order: 823 101 317 kJ/mol of formula units.